This record from OQMD describes a relaxed structure of Co2SiO4. The functional is PBE+U.

Unit cell a=10.232 b=5.969 c=4.794 alpha=90.00 beta=90.00 gamma=90.00
Space group Pnma (No. 62)
One atom of each set of equivalent atoms:
Co 0.000 0.000 0.000 x4
Co 0.227 0.250 0.497 x4
Si 0.094 0.750 0.426 x4
O 0.055 0.250 0.714 x4
O 0.093 0.750 0.767 x4
O 0.163 0.530 0.277 x8

Output
Energy: -0.504 Ry/atom